MgCd2Ag after structural relaxation, computed with PBEsol.

Computed properties:
* formation energy: -0.117 eV per atom
* energy: -1.973 eV/atom

a b c (Å): 5.007 5.007 5.007
angles (deg): 127.77 127.77 77.00
Fractional positions:
Mg 0.000 0.000 0.000
Cd 0.250 0.750 0.500
Cd 0.500 0.500 0.000
Ag 0.750 0.250 0.500